Computed, not measured: a relaxed structure of La8Te3S3N at the PBE level of DFT.

Cell: 14.6382 8.4636 8.8279 Å, 90.00 123.51 90.00°
Last column: nearest neighbours and their distance in Å.
Space group C2/m (No. 12)
Symmetry-distinct sites (fractional):
La: 0.0101 0.2257 0.3047 (multiplicity 8)  1 N 2.63, 2 S 2.94
La: 0.2156 0.0000 0.6954 (multiplicity 4)  1 N 2.63, 2 S 2.94
La: 0.2365 0.5000 0.7097 (multiplicity 4)  3 S 2.89
Te: 0.0000 0.0000 0.0000 (multiplicity 2)  6 La 3.24
Te: 0.2500 0.2500 0.0000 (multiplicity 4)  6 La 3.24
S: 0.0000 0.5000 0.5000 (multiplicity 2)  6 La 2.89-2.94
S: 0.2500 0.2500 0.5000 (multiplicity 4)  6 La 2.89-2.94
N: 0.0000 0.0000 0.5000 (multiplicity 2)  6 La 2.63

Calculated values
Formation energy (no corrections): -1633 meV per atom
Calculated total energy: -0.2304 Ha/atom